Computed, not measured: an optimized crystal structure of CoIrAuO2 at the GGA+U level of DFT.

Results
Crystal system: tetragonal
Total DFT energy (no corrections) in Ry per atom: -0.391
DOS at the Fermi energy in states/eV/f.u.: 4.3

Cell lengths 3.7501, 3.7501, 5.7696 Å; angles 90.00, 90.00, 90.00 degrees
Closest atoms and distances in Å follow each position.
Space group P4/mmm (No. 123)
Symmetry-distinct sites (fractional):
Co1 0.0000 0.0000 0.0000 x1  4 Au 2.65
Ir1 0.5000 0.5000 0.5000 x1  4 O 1.88
Au1 0.5000 0.5000 0.0000 x1  4 Co 2.65, 2 Ir 2.88
O1 0.0000 0.5000 0.5000 x2  2 Ir 1.88